Record 1
Density functional theory data (meta-GGA SCAN) for a crystal of H3PtBr relaxed with PBEsol.

For the magnetization, the calculation gives 0.0 μB per formula unit. The calculation puts the uncorrected energy at -97.21 eV/f.u.

It has space group Pm-3m (No. 221), with a = 3.689 Å, b = 3.689 Å, c = 3.689 Å, α = 90.00°, β = 90.00° and γ = 90.00°. The asymmetric unit holds H at (0.000, 0.000, 0.500), Pt at (0.000, 0.000, 0.000) and Br at (0.500, 0.500, 0.500).

---

Record 2
Density functional theory data (meta-GGA SCAN) for a crystal of MgSn2As2 relaxed with PBEsol.

Its energy of formation is 0.82 eV per formula unit. For the magnetization, the calculation gives 0.0 μB per formula unit. The calculation puts the uncorrected energy at -116.38 eV/f.u.

It has space group I4/mmm (No. 139), with a = 3.735 Å, b = 3.735 Å, c = 16.973 Å, α = 90.00°, β = 90.00° and γ = 90.00°. The asymmetric unit holds Mg at (0.000, 0.000, 0.000), Sn at (0.000, 0.000, 0.398) and As at (0.000, 0.500, 0.250).